#A
Below is crystalline LiPdCl at its relaxed geometry, with properties calculated at the PBE level. Values from VASP.

The structure in Quantum ESPRESSO input format:
```
&SYSTEM
  ibrav = 0, nat = 6, ntyp = 3
/
ATOMIC_SPECIES
Li 6.94 Li.upf
Pd 106.42 Pd.upf
Cl 35.45 Cl.upf
ATOMIC_POSITIONS angstrom
Li 0.000 0.000 0.000
Li 0.000 0.000 3.477
Pd 0.000 2.448 1.738
Pd 2.120 1.224 5.215
Cl 0.000 2.448 5.215
Cl 2.120 1.224 1.738
CELL_PARAMETERS angstrom
4.240 0.000 0.000
-2.120 3.672 0.000
0.000 0.000 6.953
```

Summary:
M_tot = 0.0 μB/cell
symmetry = No. 194

#B
Below is crystalline LiPdCl at its relaxed geometry, with properties calculated at the PBE level. Values from VASP.

The structure in Quantum ESPRESSO input format:
```
&SYSTEM
  ibrav = 0, nat = 12, ntyp = 3
/
ATOMIC_SPECIES
Li 6.94 Li.upf
Pd 106.42 Pd.upf
Cl 35.45 Cl.upf
ATOMIC_POSITIONS angstrom
Li 2.181 0.000 0.537
Li 3.765 2.339 2.676
Li 8.935 2.339 0.537
Li 10.519 0.000 2.676
Pd -0.404 0.000 1.606
Pd 0.000 2.339 0.000
Pd 6.754 0.000 0.000
Pd 6.350 2.339 1.606
Cl 2.278 2.339 0.585
Cl 3.667 0.000 2.628
Cl 9.033 0.000 0.585
Cl 10.422 2.339 2.628
CELL_PARAMETERS angstrom
13.509 0.000 0.000
0.000 4.678 0.000
-0.809 0.000 3.213
```

Summary:
M_tot = 0.0 μB/cell
symmetry = No. 12

#C
Below is crystalline LiPdCl at its relaxed geometry, with properties calculated at the PBE level. Values from VASP.

The structure in Quantum ESPRESSO input format:
```
&SYSTEM
  ibrav = 0, nat = 6, ntyp = 3
/
ATOMIC_SPECIES
Li 6.94 Li.upf
Pd 106.42 Pd.upf
Cl 35.45 Cl.upf
ATOMIC_POSITIONS angstrom
Li 1.107 1.107 0.699
Li 3.322 3.322 4.836
Pd 1.107 1.107 3.233
Pd 3.322 3.322 2.303
Cl 1.107 3.322 0.000
Cl 3.322 1.107 0.000
CELL_PARAMETERS angstrom
4.430 0.000 0.000
0.000 4.430 0.000
0.000 0.000 5.535
```

Summary:
M_tot = 0.0 μB/cell
symmetry = No. 129

#C is the least stable structure shown above.